(1)
The following is a PBE-GGA calculation of Co4NiIr3 after structural relaxation, from Alexandria via LeMat-Bulk.

The structure in POSCAR format:
```
Co4NiIr3
1.0
-2.077 -1.623 2.585
-0.487 -4.398 -0.517
4.220 -1.208 5.268
Ir Co Ni
3 4 1
direct
0.500 0.500 0.500
0.256 0.245 0.243
0.744 0.755 0.757
0.374 0.374 0.877
0.626 0.626 0.123
0.876 0.876 0.372
0.124 0.124 0.628
0.000 0.000 0.000
```

Computed properties:
Crystal system: monoclinic
DFT formation energy (meV per atom): 36.7
Volume (A^3/atom): 12.3
SG: C2/m
M_tot (μB/atom): 0.76

=====

(2)
The following is a PBE-GGA calculation of CdPb2Se after structural relaxation, from Alexandria via LeMat-Bulk.

The structure in POSCAR format:
```
CdPb2Se
1.0
6.537 -0.001 0.000
3.522 5.506 0.000
-5.029 -2.753 3.139
Pb Se Cd
2 1 1
direct
0.000 0.000 0.000
0.250 0.750 0.500
0.500 0.500 0.000
0.750 0.250 0.500
```

Computed properties:
Crystal system: tetragonal
Offset from the most stable computed form (eV per atom): 0.0884
Volume (A^3/atom): 28.2
SG: I-4m2
E_form (uncorrected) (eV/atom): -0.07
M_tot (μB/atom): 0.00

=====

(3)
The following is a PBE-GGA calculation of Ca2HgTeO6 after structural relaxation, from Alexandria via LeMat-Bulk.

The structure in POSCAR format:
```
Ca2HgTeO6
1.0
5.769 0.000 0.000
2.885 4.996 0.000
2.884 1.665 5.365
Hg Ca O Te
1 2 6 1
direct
0.744 0.744 0.767
0.530 0.530 0.410
0.008 0.008 0.975
0.558 0.276 0.187
0.276 0.978 0.187
0.687 0.156 0.764
0.978 0.558 0.187
0.156 0.393 0.764
0.393 0.687 0.764
0.330 0.330 0.011
```

Computed properties:
Crystal system: trigonal
Volume (A^3/atom): 15.5
SG: R3
E_form (uncorrected) (eV/atom): -1.78
M_tot (μB/atom): 0.00

=====

(4)
The following is a PBE-GGA calculation of MoPdPt2 after structural relaxation, from Alexandria via LeMat-Bulk.

The structure in POSCAR format:
```
MoPdPt2
1.0
3.966 0.000 0.000
0.000 3.966 0.000
0.000 0.000 3.966
Pt Pd Mo
2 1 1
direct
0.000 0.000 0.500
0.000 0.500 0.000
0.500 0.500 0.500
0.500 0.000 0.000
```

Computed properties:
Crystal system: tetragonal
Offset from the most stable computed form (eV per atom): 0.0000
DFT formation energy (meV per atom): -101.6
Volume (A^3/atom): 15.6
SG: P4/mmm
M_tot (μB/atom): 0.50

=====

What did the first record say?
The following is a PBE-GGA calculation of Co4NiIr3 after structural relaxation, from Alexandria via LeMat-Bulk.

The structure in POSCAR format:
```
Co4NiIr3
1.0
-2.077 -1.623 2.585
-0.487 -4.398 -0.517
4.220 -1.208 5.268
Ir Co Ni
3 4 1
direct
0.500 0.500 0.500
0.256 0.245 0.243
0.744 0.755 0.757
0.374 0.374 0.877
0.626 0.626 0.123
0.876 0.876 0.372
0.124 0.124 0.628
0.000 0.000 0.000
```

Computed properties:
Crystal system: monoclinic
DFT formation energy (meV per atom): 36.7
Volume (A^3/atom): 12.3
SG: C2/m
M_tot (μB/atom): 0.76

=====

Which of these has the lowest volume? Co4NiIr3

=====

The highest volume belongs to which entry? CdPb2Se